Material: Al2Sb5Pd12
Method: DFT, GGA-PBE
State: relaxed

As for the density of states at the Fermi level: 6.205 states/eV/f.u.

The space group is C2/m (No. 12) and the conventional cell measures 12.634, 7.410 and 7.552 Å, with angles of 90.00, 93.87 and 90.00 degrees. The inequivalent atoms are Al at (0.000, 0.203, 0.000), Sb at (0.000, 0.500, 0.500), Sb at (0.166, 0.000, 0.419), Sb at (0.233, 0.000, 0.883), Pd at (0.031, 0.000, 0.740), Pd at (0.091, 0.500, 0.909), Pd at (0.108, 0.311, 0.259) and Pd at (0.168, 0.288, 0.643).


Material: DyHoCuIr
Method: DFT, GGA-PBE
State: relaxed

As for the density of states at the Fermi level: 2.697 states/eV/f.u. The value obtained for the formation energy is -0.604 eV per atom.

The space group is F-43m (No. 216) and the conventional cell measures 6.874, 6.874 and 6.874 Å, with angles of 90.00, 90.00 and 90.00 degrees. The inequivalent atoms are Dy at (0.000, 0.000, 0.000), Ho at (0.000, 0.000, 0.500), Cu at (0.250, 0.250, 0.750) and Ir at (0.250, 0.250, 0.250).


Material: Th2AuC
Method: DFT, GGA-PBE
State: relaxed

As for the density of states at the Fermi level: 4.077 states/eV/f.u. The energy relative to the lowest polymorph listed for this composition is 1.2 kJ per mole of atoms. The value obtained for the formation energy is -0.433 eV per atom.

The space group is R-3m (No. 166, hexagonal axes) and the conventional cell measures 3.7671, 3.7671 and 22.6081 Å, with angles of 90.00, 90.00 and 120.00 degrees. The inequivalent atoms are Th at (0.0000, 0.0000, 0.2308), Au at (0.0000, 0.0000, 0.0000) and C at (0.0000, 0.0000, 0.5000).


Material: Mo2RuRh
Method: DFT, GGA-PBE
State: relaxed

As for the density of states at the Fermi level: 4.296 states/eV/f.u. The energy relative to the lowest polymorph listed for this composition is 1.5 kJ per mole of atoms. The value obtained for the formation energy is -0.067 eV per atom.

The space group is Pmmm (No. 47) and the conventional cell measures 2.766, 3.886 and 5.537 Å, with angles of 90.00, 90.00 and 90.00 degrees. The inequivalent atoms are Mo at (0.000, 0.000, 0.245), Ru at (0.500, 0.500, 0.000) and Rh at (0.500, 0.500, 0.500).


Material: PaInNiAu
Method: DFT, GGA-PBE
State: relaxed

As for the density of states at the Fermi level: 4.152 states/eV/f.u. The value obtained for the formation energy is -0.287 eV per atom.

The space group is F-43m (No. 216) and the conventional cell measures 6.838, 6.838 and 6.838 Å, with angles of 90.00, 90.00 and 90.00 degrees. The inequivalent atoms are Pa at (0.000, 0.000, 0.000), In at (0.000, 0.000, 0.500), Ni at (0.250, 0.250, 0.250) and Au at (0.250, 0.250, 0.750).


Material: Ac2Ga3Ni6
Method: DFT, GGA-PBE
State: relaxed

As for the density of states at the Fermi level: 5.518 states/eV/f.u. The value obtained for the formation energy is -0.254 eV per atom.

The space group is P-62m (No. 189) and the conventional cell measures 7.1151, 7.1151 and 4.4155 Å, with angles of 90.00, 90.00 and 120.00 degrees. The inequivalent atoms are Ac at (0.3333, 0.6667, 0.0000), Ga at (0.0000, 0.3825, 0.5000), Ni at (0.0000, 0.1984, 0.0000) and Ni at (0.0000, 0.7719, 0.5000).


Material: RbZnGeBr5
Method: DFT, GGA-PBE
State: relaxed

As for the density of states at the Fermi level: 0.000 states/eV/f.u.

The space group is C2/c (No. 15) and the conventional cell measures 9.553, 12.561 and 10.303 Å, with angles of 90.00, 114.11 and 90.00 degrees. The inequivalent atoms are Rb at (0.000, 0.157, 0.250), Zn at (0.000, 0.187, 0.750), Ge at (0.000, 0.500, 0.000), Br at (0.000, 0.427, 0.250), Br at (0.109, 0.290, 0.613) and Br at (0.188, 0.071, 0.931).


Material: ReRhSCl2
Method: DFT, GGA-PBE
State: relaxed

As for the density of states at the Fermi level: 1.758 states/eV/f.u. The energy relative to the lowest polymorph listed for this composition is 15.4 kJ per mole of atoms.

The space group is P4/mmm (No. 123) and the conventional cell measures 4.704, 4.704 and 4.796 Å, with angles of 90.00, 90.00 and 90.00 degrees. The inequivalent atoms are Re at (0.000, 0.000, 0.000), Rh at (0.500, 0.500, 0.500), S at (0.500, 0.500, 0.000) and Cl at (0.000, 0.500, 0.500).


Energy: -5.20, -6.14, -7.27, -9.64, -5.61, -4.98, -2.88, -4.54 (eV per atom)
Size of the total moment: 0.0, 0.0, 0.0, 0.0, 0.0, 0.0, 0.0, 4.9 (μB per formula unit)